CsNa3I after structural relaxation. Source: the Alexandria database, functional PBE.

Cell lengths 7.3235, 7.3235, 7.3235 Å; angles 90.00, 90.00, 90.00 degrees
Space group Pm-3m (No. 221)
One atom of each set of equivalent atoms:
Cs 0.0000 0.0000 0.0000 (multiplicity 1)
Na 0.0000 0.0000 0.5000 (multiplicity 3)
I 0.5000 0.5000 0.5000 (multiplicity 1)



Cs12Na3I5 after structural relaxation. Source: the Alexandria database, functional PBE.

Cell lengths 24.1726, 24.1726, 24.1726 Å; angles 90.00, 90.00, 90.00 degrees
Space group Ia-3d (No. 230)
One atom of each set of equivalent atoms:
Cs 0.0243 0.0606 0.6494 (multiplicity 96)
Na 0.0000 0.2500 0.1250 (multiplicity 24)
I 0.0000 0.0000 0.0000 (multiplicity 16)
I 0.0000 0.2500 0.3750 (multiplicity 24)



CsNaI after structural relaxation. Source: the Alexandria database, functional PBE.

The value obtained for the offset from the most stable computed form is 0.019 eV per atom.

Cell lengths 4.9228, 5.1162, 13.1291 Å; angles 78.79, 89.96, 90.00 degrees
Space group P1 (No. 1)
One atom of each set of equivalent atoms:
Cs 0.0000 0.0000 0.0000 (multiplicity 1)
Cs 0.9999 0.3216 0.3644 (multiplicity 1)
Na 0.4957 0.1583 0.6951 (multiplicity 1)
Na 0.9954 0.6607 0.6900 (multiplicity 1)
I 0.5001 0.4360 0.1284 (multiplicity 1)
I 0.4997 0.7586 0.4906 (multiplicity 1)



| no. | formation energy (no corrections) (eV/atom) |
| --- | --- |
| 1 | 0.2724 |
| 2 | -0.6789 |
| 3 | -0.9095 |